Below is a relaxed Co2Ir3Rh crystal, with properties calculated at the PBE-GGA level.

Values from the calculation:
Energy relative to the lowest polymorph listed for this composition (meV per atom): 657.2

Cell and atoms, written as CIF:
```
data_Co2Ir3Rh
_chemical_formula_sum 'Co4 Ir6 Rh2'
_symmetry_space_group_name_H-M 'C m m m'
_symmetry_Int_Tables_number 65
_symmetry_space_group_name_Hall '-C 2 2'
_cell_length_a 4.5102
_cell_length_b 15.3728
_cell_length_c 2.6647
_cell_angle_alpha 90.00
_cell_angle_beta 90.00
_cell_angle_gamma 90.00
loop_
_atom_site_label
_atom_site_fract_x
_atom_site_fract_y
_atom_site_fract_z
Co1 0.0000 0.1985 0.0000
Ir1 0.0000 0.0000 0.0000
Ir2 0.0000 0.3562 0.0000
Rh1 0.0000 0.5000 0.5000
```

Below is a relaxed SbOsPb2 crystal, with properties calculated at the PBE-GGA level.

Values from the calculation:
Energy relative to the elements, uncorrected (eV/atom): 0.33

Cell and atoms, written as CIF:
```
data_SbOsPb2
_chemical_formula_sum 'Sb1 Os1 Pb2'
_symmetry_space_group_name_H-M 'P 1 m 1'
_symmetry_Int_Tables_number 6
_symmetry_space_group_name_Hall 'P -2y'
_cell_length_a 3.2552
_cell_length_b 3.2668
_cell_length_c 9.7344
_cell_angle_alpha 90.00
_cell_angle_beta 99.35
_cell_angle_gamma 90.00
loop_
_atom_site_label
_atom_site_fract_x
_atom_site_fract_y
_atom_site_fract_z
Sb1 0.0000 0.0000 0.0000
Os1 0.4262 0.5000 0.8473
Pb1 0.2023 0.5000 0.3229
Pb2 0.8262 0.0000 0.6353
```

Below is a relaxed YLuNi crystal, with properties calculated at the PBE-GGA level.

Values from the calculation:
Energy relative to the lowest polymorph listed for this composition (meV per atom): 0.0

Cell and atoms, written as CIF:
```
data_YLuNi
_chemical_formula_sum 'Y2 Lu2 Ni2'
_symmetry_space_group_name_H-M 'I 4 m m'
_symmetry_Int_Tables_number 107
_symmetry_space_group_name_Hall 'I 4 -2'
_cell_length_a 3.3723
_cell_length_b 3.3723
_cell_length_c 12.2740
_cell_angle_alpha 90.00
_cell_angle_beta 90.00
_cell_angle_gamma 90.00
loop_
_atom_site_label
_atom_site_fract_x
_atom_site_fract_y
_atom_site_fract_z
Y1 0.0000 0.0000 0.0000
Lu1 0.0000 0.0000 0.2639
Ni1 0.0000 0.0000 0.6403
```

Below is a relaxed CsZn3O3 crystal, with properties calculated at the PBE-GGA level.

Values from the calculation:
Energy relative to the lowest polymorph listed for this composition (meV per atom): 98.8
Energy relative to the elements, uncorrected (eV/atom): -1.03

Cell and atoms, written as CIF:
```
data_CsZn3O3
_chemical_formula_sum 'Cs2 Zn6 O6'
_symmetry_space_group_name_H-M 'P m -3 n'
_symmetry_Int_Tables_number 223
_symmetry_space_group_name_Hall '-P 4n 2 3'
_cell_length_a 6.0406
_cell_length_b 6.0406
_cell_length_c 6.0406
_cell_angle_alpha 90.00
_cell_angle_beta 90.00
_cell_angle_gamma 90.00
loop_
_atom_site_label
_atom_site_fract_x
_atom_site_fract_y
_atom_site_fract_z
Cs1 0.0000 0.0000 0.0000
Zn1 0.0000 0.2500 0.5000
O1 0.0000 0.5000 0.2500
```

Below is a relaxed Sc8FeHg2 crystal, with properties calculated at the PBE-GGA level.

Cell and atoms, written as CIF:
```
data_Sc8FeHg2
_chemical_formula_sum 'Sc16 Fe2 Hg4'
_symmetry_space_group_name_H-M 'C 1 2/m 1'
_symmetry_Int_Tables_number 12
_symmetry_space_group_name_Hall '-C 2y'
_cell_length_a 16.0168
_cell_length_b 4.9702
_cell_length_c 6.4311
_cell_angle_alpha 90.00
_cell_angle_beta 110.89
_cell_angle_gamma 90.00
loop_
_atom_site_label
_atom_site_fract_x
_atom_site_fract_y
_atom_site_fract_z
Sc1 0.0182 0.0000 0.2875
Sc2 0.0929 0.5000 0.9120
Sc3 0.1476 0.5000 0.4400
Sc4 0.1943 0.0000 0.7717
Fe1 0.0000 0.5000 0.5000
Hg1 0.1823 0.0000 0.1989
```

Below is a relaxed Ta2FeSb crystal, with properties calculated at the PBE-GGA level.

Values from the calculation:
Energy relative to the elements, uncorrected (eV/atom): 0.17

Cell and atoms, written as CIF:
```
data_Ta2FeSb
_chemical_formula_sum 'Ta2 Fe1 Sb1'
_symmetry_space_group_name_H-M 'P 4/m m m'
_symmetry_Int_Tables_number 123
_symmetry_space_group_name_Hall '-P 4 2'
_cell_length_a 3.4836
_cell_length_b 3.4836
_cell_length_c 5.7636
_cell_angle_alpha 90.00
_cell_angle_beta 90.00
_cell_angle_gamma 90.00
loop_
_atom_site_label
_atom_site_fract_x
_atom_site_fract_y
_atom_site_fract_z
Ta1 0.0000 0.0000 0.2342
Fe1 0.5000 0.5000 0.0000
Sb1 0.5000 0.5000 0.5000
```

| no. | electronic total energy (eV/atom) | N(E_F) (states/eV/atom) |
| --- | --- | --- |
| 1 | -7.33 | 1.77 |
| 2 | -5.36 | 0.55 |
| 3 | -5.86 | 0.86 |
| 4 | -3.83 | 0.21 |
| 5 | -5.65 | 0.89 |
| 6 | -8.91 | 0.83 |